No. 1
Entry from the Alexandria database: a geometry-optimized NdBr2Cl structure (PBE).

Unit cell a=4.304 b=7.818 c=7.997 alpha=61.18 beta=90.00 gamma=90.00
Sites, in units of the cell vectors:
Br 0.000 0.696 0.914
Br 0.500 0.093 0.617
Br 0.500 0.281 0.088
Br 0.500 0.619 0.295
Nd 0.500 0.666 0.661
Nd 0.000 0.327 0.332
Cl 0.000 0.906 0.412
Cl 0.000 0.411 0.681

Computed properties:
Symmetry = Pm (6)
Energy = -4.493 eV per atom

=====

No. 2
Entry from the Alexandria database: a geometry-optimized La5Dy2Mg structure (PBE).

Unit cell a=7.227 b=7.229 c=7.230 alpha=91.71 beta=119.18 gamma=118.89
Sites, in units of the cell vectors:
La 0.278 0.279 0.501
La 0.280 0.278 0.002
La 0.778 0.276 0.999
La 0.279 0.778 0.999
La 0.777 0.779 0.501
Dy 0.276 0.778 0.498
Dy 0.777 0.278 0.500
Mg 0.778 0.778 0.001

Computed properties:
Symmetry = Imm2 (44)
Calculated formation energy = -0.004 eV/atom

=====

No. 3
Entry from the Alexandria database: a geometry-optimized Li2Cd2As structure (PBE).

Unit cell a=6.533 b=6.533 c=4.464 alpha=90.00 beta=90.00 gamma=90.00
Sites, in units of the cell vectors:
Li 0.648 0.148 0.000
Li 0.352 0.852 0.000
Li 0.148 0.352 0.000
Li 0.852 0.648 0.000
Cd 0.340 0.160 0.500
Cd 0.160 0.660 0.500
Cd 0.840 0.340 0.500
Cd 0.660 0.840 0.500
As 0.500 0.500 0.000
As 0.000 0.000 0.000

Computed properties:
Symmetry = P4/mbm (127)
Calculated formation energy = -0.204 eV/atom

=====

No. 4
Entry from the Alexandria database: a geometry-optimized TbP4HO12 structure (PBE).

Unit cell a=7.264 b=9.876 c=13.868 alpha=77.99 beta=90.00 gamma=90.00
Sites, in units of the cell vectors:
P 0.647 0.691 0.898
P 0.782 0.289 0.385
P 0.316 0.870 0.901
P 0.147 0.809 0.102
P 0.184 0.370 0.901
P 0.108 0.714 0.408
P 0.353 0.309 0.102
P 0.892 0.286 0.592
P 0.684 0.130 0.099
P 0.853 0.191 0.898
P 0.282 0.211 0.615
P 0.392 0.214 0.408
P 0.816 0.630 0.099
P 0.218 0.711 0.615
P 0.608 0.786 0.592
P 0.718 0.789 0.385
O 0.033 0.256 0.942
O 0.856 0.133 0.617
O 0.356 0.367 0.383
O 0.231 0.899 0.001
O 0.675 0.676 0.163
O 0.277 0.696 0.144
O 0.084 0.911 0.161
O 0.582 0.995 0.146
O 0.324 0.149 0.519
O 0.175 0.824 0.837
O 0.223 0.196 0.144
O 0.611 0.186 0.418
O 0.824 0.351 0.481
O 0.889 0.686 0.418
O 0.418 0.005 0.854
O 0.325 0.324 0.837
O 0.319 0.123 0.344
O 0.939 0.202 0.363
O 0.181 0.623 0.344
O 0.825 0.176 0.163
O 0.731 0.601 0.999
O 0.225 0.088 0.694
O 0.681 0.877 0.656
O 0.561 0.702 0.363
O 0.176 0.649 0.519
O 0.676 0.851 0.481
O 0.918 0.495 0.146
O 0.467 0.756 0.942
O 0.769 0.101 0.999
O 0.389 0.814 0.582
O 0.111 0.314 0.582
O 0.819 0.377 0.656
O 0.144 0.867 0.383
O 0.775 0.912 0.306
O 0.061 0.798 0.637
O 0.275 0.588 0.694
O 0.967 0.744 0.058
O 0.416 0.411 0.161
O 0.082 0.505 0.854
O 0.533 0.244 0.058
O 0.269 0.399 0.001
O 0.725 0.412 0.306
O 0.644 0.633 0.617
O 0.439 0.298 0.637
O 0.916 0.089 0.839
O 0.584 0.589 0.839
O 0.723 0.304 0.856
O 0.777 0.804 0.856
H 0.853 0.450 0.211
H 0.647 0.950 0.211
H 0.353 0.050 0.789
H 0.147 0.550 0.789
Tb 0.559 0.441 0.731
Tb 0.441 0.559 0.269
Tb 0.941 0.941 0.731
Tb 0.059 0.059 0.269

Computed properties:
Symmetry = P2_1/c (14)
Energy = -7.274 eV per atom

=====

No. 5
Entry from the Alexandria database: a geometry-optimized TmNbGa4 structure (PBE).

Unit cell a=5.280 b=5.280 c=5.280 alpha=60.00 beta=60.00 gamma=60.00
Sites, in units of the cell vectors:
Ga 0.625 0.625 0.625
Ga 0.124 0.625 0.625
Ga 0.625 0.124 0.625
Ga 0.625 0.625 0.124
Nb 0.000 0.000 0.000
Tm 0.250 0.250 0.250

Computed properties:
Symmetry = F-43m (216)
Calculated formation energy = -0.348 eV/atom

=====

No. 6
Entry from the Alexandria database: a geometry-optimized ErLu4Th structure (PBE).

Unit cell a=6.442 b=6.442 c=6.442 alpha=60.00 beta=60.00 gamma=60.00
Site moments in Bohr magnetons follow the coordinates.
Sites, in units of the cell vectors:
Lu 0.625 0.625 0.125  0.20
Lu 0.125 0.625 0.625  0.20
Lu 0.625 0.125 0.625  0.20
Lu 0.625 0.625 0.625  0.20
Th 0.250 0.250 0.250  0.35
Er 0.000 0.000 0.000  0.30

Computed properties:
Symmetry = F-43m (216)
Calculated formation energy = 0.322 eV/atom